## Zn3Pb (PBE)

Data for a relaxed Zn3Pb crystal.

```
Zn3Pb
1.0
1.611 0.930 9.229
-1.611 0.930 9.229
0.000 -1.860 9.229
Zn Pb
3 1
Cartesian
0.000 0.000 0.000
0.000 0.000 7.326
0.000 0.000 20.360
0.000 0.000 13.843
```

ΔH_f (0 K), eV/atom: 0.165
Total energy, eV per atom: -1.717
Density of states at the Fermi level, states/eV per atom: 0.0882

=====

## Zn12Pb (PBE)

Data for a relaxed Zn12Pb crystal.

```
Zn12Pb
1.0
-4.502 4.502 2.671
4.502 -4.502 2.671
4.502 4.502 -2.671
Zn Pb
12 1
Cartesian
2.251 2.251 -1.336
2.051 0.000 0.000
2.251 -2.251 1.336
6.953 0.000 0.000
4.502 1.310 0.000
0.000 2.051 0.000
-2.251 2.251 1.336
1.310 4.502 0.000
2.251 2.251 1.336
3.192 0.000 2.671
0.000 6.953 0.000
0.000 3.192 2.671
0.000 0.000 2.671
```

ΔH_f (0 K), eV/atom: 0.045
Total energy, eV per atom: -1.417
Density of states at the Fermi level, states/eV per atom: 0.2166

=====

## ZnPb (PBE)

Data for a relaxed ZnPb crystal.

```
ZnPb
1.0
9.327 0.000 0.000
-4.663 8.077 0.000
0.000 0.000 4.751
Zn Pb
6 6
Cartesian
-2.301 4.625 1.188
1.808 3.772 1.188
4.171 0.320 3.563
0.493 7.757 1.188
2.855 4.305 3.563
6.964 3.452 3.563
-0.704 2.225 1.188
-2.385 7.574 1.188
1.575 1.722 3.563
3.088 6.355 1.188
7.048 0.503 3.563
5.367 5.852 3.563
```

ΔH_f (0 K), eV/atom: 0.257
Total energy, eV per atom: -2.234
Density of states at the Fermi level, states/eV per atom: 0.4133

=====

## Zn3Pb (PBE)

Data for a relaxed Zn3Pb crystal.

```
Zn3Pb
1.0
3.683 0.000 0.000
0.000 4.505 0.000
0.000 0.000 5.152
Zn Pb
3 1
Cartesian
0.000 0.000 0.000
0.000 2.253 1.285
0.000 2.253 3.866
1.841 0.000 2.576
```

ΔH_f (0 K), eV/atom: 0.142
Total energy, eV per atom: -1.741
Density of states at the Fermi level, states/eV per atom: 0.5924

=====

Look up the total energy of the second one.
-1.417 eV per atom

=====

What is the ΔH_f (0 K) in the third record?
0.257 eV/atom